Record 1
HfMg2Ru | PBE | optimized geometry

Unit cell a=10.7478 b=10.7478 c=10.7478 alpha=159.28 beta=159.28 gamma=29.47
Closest atoms and distances in Å follow each position.
Fractional positions:
Hf: 0.0000 0.0000 0.0000  4 Ru 2.73, 4 Mg 2.96
Hf: 0.7500 0.2500 0.5000  4 Ru 2.73, 4 Mg 2.96
Mg: 0.1403 0.6250 0.0153  4 Mg 2.65-2.82, 2 Ru 2.92, 2 Hf 2.96
Mg: 0.3750 0.3903 0.5153  4 Mg 2.65-2.82, 2 Ru 2.92, 2 Hf 2.96
Mg: 0.6097 0.1250 0.9847  4 Mg 2.65-2.82, 2 Ru 2.92, 2 Hf 2.96
Mg: 0.8750 0.8597 0.4847  4 Mg 2.65-2.82, 2 Ru 2.92, 2 Hf 2.96
Ru: 0.2500 0.7500 0.5000  4 Hf 2.73, 4 Mg 2.92
Ru: 0.5000 0.5000 0.0000  4 Hf 2.73, 4 Mg 2.92

Computed properties:
- space-group type = I-42d
- mass density (Mg/m³) = 7.0
- total moment (μB per formula unit) = 0.00
- VASP energy (eV/atom) = -5.41
- excess energy over the best structure of this formula in the dataset (meV per atom) = 0
- ΔE_f (meV/atom) = 198

=====

Record 2
HfMg3Ru | PBE | optimized geometry

Unit cell a=4.8154 b=4.8154 c=4.8154 alpha=90.00 beta=90.00 gamma=90.00
Closest atoms and distances in Å follow each position.
Fractional positions:
Hf: 0.0000 0.0000 0.0000  12 Mg 3.40
Mg: 0.0000 0.5000 0.5000  2 Ru 2.41
Mg: 0.5000 0.0000 0.5000  2 Ru 2.41
Mg: 0.5000 0.5000 0.0000  2 Ru 2.41
Ru: 0.5000 0.5000 0.5000  6 Mg 2.41

Computed properties:
- space-group type = Pm-3m
- mass density (Mg/m³) = 5.2
- total moment (μB per formula unit) = 0.00
- VASP energy (eV/atom) = -4.16
- excess energy over the best structure of this formula in the dataset (meV per atom) = 0
- ΔE_f (meV/atom) = 642

=====

Record 3
Hf3MgRu | PBE | optimized geometry

Unit cell a=4.9931 b=4.9931 c=4.9931 alpha=90.00 beta=90.00 gamma=90.00
Closest atoms and distances in Å follow each position.
Fractional positions:
Hf: 0.0000 0.0000 0.5000  2 Ru 2.50
Hf: 0.0000 0.5000 0.0000  2 Ru 2.50
Hf: 0.5000 0.0000 0.0000  2 Ru 2.50
Mg: 0.5000 0.5000 0.5000  12 Hf 3.53
Ru: 0.0000 0.0000 0.0000  6 Hf 2.50

Computed properties:
- space-group type = Pm-3m
- mass density (Mg/m³) = 8.8
- total moment (μB per formula unit) = 0.00
- VASP energy (eV/atom) = -7.83
- excess energy over the best structure of this formula in the dataset (meV per atom) = 0
- ΔE_f (meV/atom) = 312

=====

Record 4
HfMg2Ru2 | PBE | optimized geometry

Unit cell a=7.1009 b=7.1009 c=3.4175 alpha=90.00 beta=90.00 gamma=90.00
Closest atoms and distances in Å follow each position.
Fractional positions:
Hf: 0.0000 0.0000 0.0000  4 Ru 2.69
Hf: 0.5000 0.5000 0.0000  4 Ru 2.69
Mg: 0.1445 0.3555 0.5000  6 Ru 2.65-2.72, 1 Mg 2.90
Mg: 0.3555 0.8555 0.5000  6 Ru 2.65-2.72, 1 Mg 2.90
Mg: 0.6445 0.1445 0.5000  6 Ru 2.65-2.72, 1 Mg 2.90
Mg: 0.8555 0.6445 0.5000  6 Ru 2.65-2.72, 1 Mg 2.90
Ru: 0.1540 0.6540 0.0000  6 Mg 2.65-2.72, 2 Hf 2.69
Ru: 0.3460 0.1540 0.0000  6 Mg 2.65-2.72, 2 Hf 2.69
Ru: 0.6540 0.8460 0.0000  6 Mg 2.65-2.72, 2 Hf 2.69
Ru: 0.8460 0.3460 0.0000  6 Mg 2.65-2.72, 2 Hf 2.69

Computed properties:
- space-group type = P4/mbm
- mass density (Mg/m³) = 8.3
- total moment (μB per formula unit) = 0.00
- VASP energy (eV/atom) = -6.37
- ΔE_f (meV/atom) = -31